# 1
DFT (GGA-PBEsol) results for a relaxed NiPIr crystal.

```
3
Lattice="-3.520 1.400 -0.310 -2.257 0.160 3.053 -0.853 3.360 1.559" Properties=species:S:1:pos:R:3 pbc="T T T"
Ni -3.315 2.460 2.151
P -4.972 3.690 3.226
Ir 0.000 0.000 0.000
```

Calculated values
- space group = F-43m
- formation energy (eV/atom) = -0.504
- magnetization (μB per formula unit) = 0.000
- calculated total energy (eV per atom) = -7.76


# 2
DFT (GGA-PBEsol) results for a relaxed Tl2Sb crystal.

```
24
Lattice="-7.786 4.932 4.493 -0.943 -0.130 10.209 1.774 8.520 5.421" Properties=species:S:1:pos:R:3 pbc="T T T"
Sb -7.182 7.086 14.873
Sb -1.831 9.095 15.393
Sb -6.863 7.557 9.760
Sb -5.662 11.929 12.193
Sb -1.511 9.566 10.280
Sb -3.032 4.724 12.960
Sb -6.190 11.856 17.908
Sb -2.504 4.797 7.245
Tl -1.341 1.600 7.620
Tl -2.376 3.710 10.125
Tl -2.934 10.799 13.075
Tl -3.344 10.743 17.512
Tl -0.869 1.665 2.515
Tl -4.115 7.040 15.156
Tl -4.762 4.131 4.762
Tl -7.498 9.183 17.108
Tl -5.350 5.909 7.641
Tl -4.579 9.612 9.997
Tl -5.760 5.853 12.078
Tl -6.318 12.943 15.028
Tl -1.195 7.469 8.045
Tl -1.605 7.413 12.481
Tl 0.017 5.925 5.226
Tl -7.089 9.240 12.672
```

Calculated values
- space group = Fd-3m
- magnetization (μB per formula unit) = 0.000
- energy above the lowest structure with this stoichiometry (meV per atom) = 88
- calculated total energy (eV per atom) = -3.18


# 3
DFT (GGA-PBEsol) results for a relaxed FeReMo crystal.

```
3
Lattice="-1.067 -1.935 -1.364 3.699 -0.542 -2.127 -0.724 -2.168 3.644" Properties=species:S:1:pos:R:3 pbc="T T T"
Mo 1.518 -2.366 -1.106
Fe 0.000 -0.001 0.000
Re 0.390 -2.279 1.260
```

Calculated values
- space group = P3m1
- formation energy (eV/atom) = 0.097
- magnetization (μB per formula unit) = 2.651
- energy above the lowest structure with this stoichiometry (meV per atom) = 34
- calculated total energy (eV per atom) = -11.26


Q: What is the formula in the third record?
A: FeReMo


Q: Which formula does entry 3 have?
A: FeReMo


Q: What is the formula in the second record?
A: Tl2Sb


Q: Which value of magnetization does entry 1 give?
A: 0.000 μB per formula unit